# 1
Computed, not measured: Cs3CrRh after structural relaxation at the PBE-GGA level of DFT.

Cell lengths 6.2216, 6.2216, 6.2216 Å; angles 90.00, 90.00, 90.00 degrees
With the nearest neighbours (Å) after each atom.
Space group Pm-3m (No. 221)
Unique sites:
Cs 0.0000 0.0000 0.5000 x3  2 Rh 3.11
Cr 0.5000 0.5000 0.5000 x1  12 Cs 4.40
Rh 0.0000 0.0000 0.0000 x1  6 Cs 3.11

Calculated values
- energy (eV per atom) = -2.997
- calculated formation energy (eV per atom) = 0.910

# 2
Computed, not measured: CsTaCr2Rh after structural relaxation at the PBE-GGA level of DFT.

Cell lengths 5.1323, 5.1323, 4.8592 Å; angles 90.00, 90.00, 90.00 degrees
With the nearest neighbours (Å) after each atom.
Space group P4/mmm (No. 123)
Unique sites:
Cs 0.0000 0.0000 0.0000 x1  8 Cr 3.53, 4 Rh 3.63
Ta 0.5000 0.5000 0.5000 x1  2 Rh 2.43, 4 Cr 2.57
Cr 0.0000 0.5000 0.5000 x2  2 Ta 2.57
Rh 0.5000 0.5000 0.0000 x1  2 Ta 2.43

Calculated values
- energy (eV per atom) = -6.569
- calculated formation energy (eV per atom) = 1.292

# 3
Computed, not measured: CsCrRu2 after structural relaxation at the PBE-GGA level of DFT.

Cell lengths 6.6589, 6.6589, 6.6589 Å; angles 90.00, 90.00, 90.00 degrees
With the nearest neighbours (Å) after each atom.
Space group Fm-3m (No. 225)
Unique sites:
Cs 0.0000 0.0000 0.0000 x4  8 Ru 2.88
Cr 0.0000 0.0000 0.5000 x4  8 Ru 2.88
Ru 0.2500 0.2500 0.2500 x8  4 Cr 2.88, 4 Cs 2.88

Calculated values
- energy (eV per atom) = -5.601
- calculated formation energy (eV per atom) = 1.656

# 4
Computed, not measured: CsCrRu2 after structural relaxation at the PBE-GGA level of DFT.

Cell lengths 7.1653, 7.1653, 6.9897 Å; angles 90.00, 90.00, 90.00 degrees
With the nearest neighbours (Å) after each atom.
Space group I-42d (No. 122)
Unique sites:
Cs 0.0000 0.0000 0.0000 x4  8 Ru 3.19-3.36, 2 Cr 3.49
Cr 0.0000 0.0000 0.5000 x4  4 Ru 2.27
Ru 0.1526 0.7500 0.6250 x8  2 Cr 2.27

Calculated values
- energy (eV per atom) = -5.811
- calculated formation energy (eV per atom) = 1.446

# 5
Computed, not measured: CsCrRu3 after structural relaxation at the PBE-GGA level of DFT.

Cell lengths 4.6834, 4.6834, 4.6834 Å; angles 90.00, 90.00, 90.00 degrees
With the nearest neighbours (Å) after each atom.
Space group Pm-3m (No. 221)
Unique sites:
Cs 0.0000 0.0000 0.0000 x1  12 Ru 3.31
Cr 0.5000 0.5000 0.5000 x1  6 Ru 2.34
Ru 0.0000 0.5000 0.5000 x3  2 Cr 2.34

Calculated values
- energy (eV per atom) = -6.128
- calculated formation energy (eV per atom) = 1.533

# 6
Computed, not measured: CsCrRu3 after structural relaxation at the PBE-GGA level of DFT.

Cell lengths 4.8340, 4.8340, 4.8340 Å; angles 90.00, 90.00, 90.00 degrees
With the nearest neighbours (Å) after each atom.
Space group Pm-3m (No. 221)
Unique sites:
Cs 0.0000 0.0000 0.0000 x1  6 Ru 2.42
Cr 0.5000 0.5000 0.5000 x1  12 Ru 3.42
Ru 0.0000 0.0000 0.5000 x3  2 Cs 2.42

Calculated values
- energy (eV per atom) = -4.292
- calculated formation energy (eV per atom) = 3.369